Record 1
The following is a GGA-PBE calculation of a geometry-optimized PrTmCu2Si2 structure, from Alexandria.

POSCAR file:
```
PrTmCu2Si2
1.0
4.1898 0.0000 0.0000
-2.0949 3.6285 0.0000
0.0000 0.0000 7.5898
Pr Tm Cu Si
1 1 2 2
Cartesian
0.0000 0.0000 0.0000 Pr
0.0000 0.0000 3.7949 Tm
0.0000 2.4190 5.4882 Cu
2.0949 1.2095 2.1016 Cu
0.0000 2.4190 2.0226 Si
2.0949 1.2095 5.5672 Si
```

Values from the calculation:
Electronic total energy = -32.2 eV for the cell shown
DOS at the Fermi energy = 0.30 states/eV per atom
Formation energy (no corrections) = -644.2 meV/atom

---

Record 2
The following is a GGA-PBE calculation of a geometry-optimized CaMnTl structure, from Alexandria.

POSCAR file:
```
CaMnTl
1.0
4.8998 0.0000 0.0000
-2.4499 4.2434 0.0000
0.0000 0.0000 3.6246
Ca Mn Tl
1 1 1
Cartesian
0.0000 0.0000 0.0000 Ca
2.4499 1.4145 1.8123 Mn
0.0000 2.8289 1.8123 Tl
```

Values from the calculation:
Electronic total energy = -13.3 eV for the cell shown
DOS at the Fermi energy = 0.54 states/eV per atom
ΔH_f (0 K) = 0.0939 eV per atom

---

Record 3
The following is a GGA-PBE calculation of a geometry-optimized Ag2SnRu2 structure, from Alexandria.

POSCAR file:
```
Ag2SnRu2
1.0
6.6024 0.0000 0.0000
0.0000 6.6024 0.0000
0.0000 0.0000 4.2356
Ag Sn Ru
4 2 4
Cartesian
1.1461 2.1551 0.0000 Ag
2.1551 5.4563 0.0000 Ag
4.4473 1.1461 0.0000 Ag
5.4563 4.4473 0.0000 Ag
0.0000 0.0000 2.1178 Sn
3.3012 3.3012 2.1178 Sn
0.8289 4.1301 2.1178 Ru
2.4723 0.8289 2.1178 Ru
4.1301 5.7735 2.1178 Ru
5.7735 2.4723 2.1178 Ru
```

Values from the calculation:
Electronic total energy = -52.6 eV for the cell shown
DOS at the Fermi energy = 0.99 states/eV per atom
ΔH_f (0 K) = 0.3907 eV per atom
Energy above the lowest structure with this stoichiometry = 0 meV per atom

---

Record 4
The following is a GGA-PBE calculation of a geometry-optimized SrAl3Ag structure, from Alexandria.

POSCAR file:
```
SrAl3Ag
1.0
0.0000 3.0767 5.8412
3.0728 0.0000 5.8412
3.0728 3.0767 0.0000
Sr Al Ag
1 3 1
Cartesian
0.0000 0.0000 0.0000 Sr
1.5364 1.5384 2.9530 Al
3.0728 3.0767 4.5619 Al
4.6091 4.6151 8.7943 Al
3.0728 3.0767 7.2234 Ag
```

Values from the calculation:
Electronic total energy = -17.1 eV for the cell shown
DOS at the Fermi energy = 0.46 states/eV per atom
ΔH_f (0 K) = -0.2744 eV per atom

---

Record 5
The following is a GGA-PBE calculation of a geometry-optimized Ce3Pd structure, from Alexandria.

POSCAR file:
```
Ce3Pd
1.0
3.3700 0.0000 0.0000
0.0000 5.5350 0.0000
0.0000 0.0000 10.0034
Ce Pd
6 2
Cartesian
0.0000 0.0000 0.0000 Ce
0.0000 2.7675 2.4291 Ce
0.0000 2.7675 7.5744 Ce
1.6850 0.0000 2.5727 Ce
1.6850 0.0000 7.4308 Ce
1.6850 2.7675 5.0017 Ce
0.0000 0.0000 5.0017 Pd
1.6850 2.7675 0.0000 Pd
```

Values from the calculation:
Electronic total energy = -48.4 eV for the cell shown
DOS at the Fermi energy = 2.05 states/eV per atom
ΔH_f (0 K) = -0.2971 eV per atom
Energy above the lowest structure with this stoichiometry = 0 meV per atom

---

Record 6
The following is a GGA-PBE calculation of a geometry-optimized PaBe4Fe structure, from Alexandria.

POSCAR file:
```
PaBe4Fe
1.0
0.0000 3.2871 3.2871
3.2871 0.0000 3.2871
3.2871 3.2871 0.0000
Pa Be Fe
1 4 1
Cartesian
0.0000 0.0000 0.0000 Pa
4.0856 2.4885 2.4885 Be
2.4885 4.0856 2.4885 Be
2.4885 2.4885 4.0856 Be
4.0856 4.0856 4.0856 Be
1.6435 1.6435 1.6435 Fe
```

Values from the calculation:
Electronic total energy = -32.0 eV for the cell shown
DOS at the Fermi energy = 0.96 states/eV per atom
ΔH_f (0 K) = 0.1416 eV per atom